The following is a GGA-PBE calculation of a geometry-optimized BiRh2S structure, from the Alexandria database.

```
BiRh2S
1.0
-2.3804 -2.8740 -1.0356
0.7369 -1.8143 3.3413
-8.2231 5.1497 4.6098
Bi Rh S
2 4 2
direct
0.5000 0.0000 0.6050
0.0000 0.5000 0.3950
0.0000 0.0000 0.0000
0.0000 0.5000 0.6634
0.5000 0.5000 0.0000
0.5000 0.0000 0.3366
0.5000 0.0000 0.1275
0.0000 0.5000 0.8725
```

Results
The calculation puts the uncorrected formation energy at -0.22 eV/atom. Its magnetization is 0.0 μB per formula unit. For the density of states at the Fermi level, the calculation gives 6.19 states/eV per cell. Its space-group type is P4/nmm.